# 1
# La5Tb2Pr2 (GGA-PBE, relaxed)
data_La5Tb2Pr2
_cell_length_a 10.2616
_cell_length_b 10.2616
_cell_length_c 10.2616
_cell_angle_alpha 85.02
_cell_angle_beta 108.68
_cell_angle_gamma 140.04
_symmetry_space_group_name_H-M 'P 1'
_symmetry_Int_Tables_number 1
_symmetry_space_group_name_Hall 'P 1'
loop_
_atom_site_label
_atom_site_type_symbol
_atom_site_fract_x
_atom_site_fract_y
_atom_site_fract_z
La1 La 0.0644 0.4823 0.8712
La2 La 0.0644 0.6933 0.0821
La3 La 0.0736 0.0734 0.5002
La4 La 0.2317 0.0512 0.2830
La5 La 0.2317 0.4488 0.6805
La6 La 0.5732 0.5734 0.4998
La7 La 0.6111 0.1933 0.1288
La8 La 0.6111 0.9823 0.9179
La9 La 0.7683 0.5512 0.3195
La10 La 0.7683 0.9488 0.7170
Tb1 Tb 0.1649 0.3008 0.1217
Tb2 Tb 0.1649 0.5432 0.3641
Tb3 Tb 0.1791 0.0432 0.8783
Tb4 Tb 0.1791 0.8008 0.6359
Pr1 Pr 0.6197 0.8732 0.2465
Pr2 Pr 0.6267 0.3732 0.7535
Pr3 Pr 0.6454 0.1454 0.5000
Pr4 Pr 0.6454 0.6454 0.0000
# Total moment   0.0 μB/f.u.
# Energy of formation from the pure elements   1.57 eV per formula unit

# 2
# La2Tb5Pr6 (GGA-PBE, relaxed)
data_La2Tb5Pr6
_cell_length_a 11.9868
_cell_length_b 20.7997
_cell_length_c 3.6914
_cell_angle_alpha 90.00
_cell_angle_beta 90.00
_cell_angle_gamma 90.00
_symmetry_space_group_name_H-M 'P 1'
_symmetry_Int_Tables_number 1
_symmetry_space_group_name_Hall 'P 1'
loop_
_atom_site_label
_atom_site_type_symbol
_atom_site_fract_x
_atom_site_fract_y
_atom_site_fract_z
La1 La 0.1685 0.2173 0.0000
La2 La 0.3315 0.7173 0.0000
La3 La 0.6685 0.2827 0.0000
La4 La 0.8315 0.7827 0.0000
Tb1 Tb 0.0000 0.5000 0.5000
Tb2 Tb 0.0920 0.7786 0.5000
Tb3 Tb 0.2002 0.0555 0.5000
Tb4 Tb 0.2998 0.5555 0.5000
Tb5 Tb 0.4080 0.2786 0.5000
Tb6 Tb 0.5000 0.0000 0.5000
Tb7 Tb 0.5920 0.7214 0.5000
Tb8 Tb 0.7002 0.4445 0.5000
Tb9 Tb 0.7998 0.9445 0.5000
Tb10 Tb 0.9080 0.2214 0.5000
Pr1 Pr 0.0590 0.9234 0.0000
Pr2 Pr 0.0791 0.6356 0.0000
Pr3 Pr 0.1792 0.3745 0.5000
Pr4 Pr 0.3208 0.8745 0.5000
Pr5 Pr 0.4209 0.1356 0.0000
Pr6 Pr 0.4410 0.4234 0.0000
Pr7 Pr 0.5590 0.5766 0.0000
Pr8 Pr 0.5791 0.8644 0.0000
Pr9 Pr 0.6792 0.1255 0.5000
Pr10 Pr 0.8208 0.6255 0.5000
Pr11 Pr 0.9209 0.3644 0.0000
Pr12 Pr 0.9410 0.0766 0.0000
# Total moment   0.0 μB/f.u.
# Energy of formation from the pure elements   1.28 eV per formula unit

# 3
# LaTb7Pr3 (GGA-PBE, relaxed)
data_LaTb7Pr3
_cell_length_a 5.6142
_cell_length_b 7.0599
_cell_length_c 10.1446
_cell_angle_alpha 70.04
_cell_angle_beta 89.99
_cell_angle_gamma 89.95
_symmetry_space_group_name_H-M 'P 1'
_symmetry_Int_Tables_number 1
_symmetry_space_group_name_Hall 'P 1'
loop_
_atom_site_label
_atom_site_type_symbol
_atom_site_fract_x
_atom_site_fract_y
_atom_site_fract_z
La1 La 0.0000 0.0000 0.0000
Tb1 Tb 0.0000 0.0000 0.5000
Tb2 Tb 0.9999 0.4173 0.6697
Tb3 Tb 0.0001 0.5827 0.3303
Tb4 Tb 0.4999 0.1432 0.2117
Tb5 Tb 0.4999 0.3221 0.8611
Tb6 Tb 0.5001 0.6779 0.1389
Tb7 Tb 0.5001 0.8568 0.7883
Pr1 Pr 0.0000 0.5000 0.0000
Pr2 Pr 0.4993 0.2819 0.5005
Pr3 Pr 0.5007 0.7181 0.4995
# Energy relative to the lowest polymorph listed for this composition   0.000 eV/atom
# Total moment   0.0 μB/f.u.
# Energy of formation from the pure elements   1.50 eV per formula unit

# 4
# LaTb6Pr8 (GGA-PBE, relaxed)
data_LaTb6Pr8
_cell_length_a 8.8572
_cell_length_b 8.8572
_cell_length_c 8.8572
_cell_angle_alpha 62.87
_cell_angle_beta 62.87
_cell_angle_gamma 62.87
_symmetry_space_group_name_H-M 'P 1'
_symmetry_Int_Tables_number 1
_symmetry_space_group_name_Hall 'P 1'
loop_
_atom_site_label
_atom_site_type_symbol
_atom_site_fract_x
_atom_site_fract_y
_atom_site_fract_z
La1 La 0.0000 0.0000 0.0000
Tb1 Tb 0.0950 0.2510 0.5350
Tb2 Tb 0.2510 0.5350 0.0950
Tb3 Tb 0.4650 0.9050 0.7490
Tb4 Tb 0.5350 0.0950 0.2510
Tb5 Tb 0.7490 0.4650 0.9050
Tb6 Tb 0.9050 0.7490 0.4650
Pr1 Pr 0.1144 0.7523 0.7152
Pr2 Pr 0.2477 0.2848 0.8856
Pr3 Pr 0.2848 0.8856 0.2477
Pr4 Pr 0.4217 0.4217 0.4217
Pr5 Pr 0.5783 0.5783 0.5783
Pr6 Pr 0.7152 0.1144 0.7523
Pr7 Pr 0.7523 0.7152 0.1144
Pr8 Pr 0.8856 0.2477 0.2848
# Total moment   0.0 μB/f.u.
# Energy of formation from the pure elements   1.84 eV per formula unit

# 5
# La9Tb3Pr2 (GGA-PBE, relaxed)
data_La9Tb3Pr2
_cell_length_a 9.1217
_cell_length_b 9.1217
_cell_length_c 13.9789
_cell_angle_alpha 90.00
_cell_angle_beta 90.00
_cell_angle_gamma 120.00
_symmetry_space_group_name_H-M 'P 1'
_symmetry_Int_Tables_number 1
_symmetry_space_group_name_Hall 'P 1'
loop_
_atom_site_label
_atom_site_type_symbol
_atom_site_fract_x
_atom_site_fract_y
_atom_site_fract_z
La1 La 0.0787 0.5419 0.2500
La2 La 0.1294 0.7603 0.0427
La3 La 0.1294 0.7603 0.4573
La4 La 0.2397 0.3691 0.0427
La5 La 0.2397 0.3691 0.4573
La6 La 0.3691 0.1294 0.5427
La7 La 0.3691 0.1294 0.9573
La8 La 0.4581 0.5368 0.2500
La9 La 0.4632 0.9213 0.2500
La10 La 0.5368 0.0787 0.7500
La11 La 0.5419 0.4632 0.7500
La12 La 0.6309 0.8706 0.0427
La13 La 0.6309 0.8706 0.4573
La14 La 0.7603 0.6309 0.5427
La15 La 0.7603 0.6309 0.9573
La16 La 0.8706 0.2397 0.5427
La17 La 0.8706 0.2397 0.9573
La18 La 0.9213 0.4581 0.7500
Tb1 Tb 0.1068 0.8581 0.7500
Tb2 Tb 0.1419 0.2487 0.7500
Tb3 Tb 0.2487 0.1068 0.2500
Tb4 Tb 0.7513 0.8932 0.7500
Tb5 Tb 0.8581 0.7513 0.2500
Tb6 Tb 0.8932 0.1419 0.2500
Pr1 Pr 0.3333 0.6667 0.6340
Pr2 Pr 0.3333 0.6667 0.8660
Pr3 Pr 0.6667 0.3333 0.1340
Pr4 Pr 0.6667 0.3333 0.3660
# Total moment   0.0 μB/f.u.
# Energy of formation from the pure elements   2.87 eV per formula unit

# 6
# La2Tb7Pr3 (GGA-PBE, relaxed)
data_La2Tb7Pr3
_cell_length_a 6.4530
_cell_length_b 3.5788
_cell_length_c 17.8274
_cell_angle_alpha 90.00
_cell_angle_beta 96.35
_cell_angle_gamma 90.00
_symmetry_space_group_name_H-M 'P 1'
_symmetry_Int_Tables_number 1
_symmetry_space_group_name_Hall 'P 1'
loop_
_atom_site_label
_atom_site_type_symbol
_atom_site_fract_x
_atom_site_fract_y
_atom_site_fract_z
La1 La 0.0539 0.0000 0.1725
La2 La 0.9461 0.0000 0.8275
Tb1 Tb 0.0000 0.5000 0.5000
Tb2 Tb 0.2261 0.0000 0.6641
Tb3 Tb 0.2554 0.0000 0.0007
Tb4 Tb 0.2726 0.5000 0.3370
Tb5 Tb 0.7274 0.5000 0.6630
Tb6 Tb 0.7446 0.0000 0.9993
Tb7 Tb 0.7739 0.0000 0.3359
Pr1 Pr 0.4561 0.5000 0.8405
Pr2 Pr 0.5000 0.0000 0.5000
Pr3 Pr 0.5439 0.5000 0.1595
# Energy relative to the lowest polymorph listed for this composition   0.000 eV/atom
# Total moment   0.0 μB/f.u.
# Energy of formation from the pure elements   1.00 eV per formula unit

# 7
# LaTb2Pr (GGA-PBE, relaxed)
data_LaTb2Pr
_cell_length_a 5.1929
_cell_length_b 5.1929
_cell_length_c 5.0754
_cell_angle_alpha 90.00
_cell_angle_beta 90.00
_cell_angle_gamma 90.00
_symmetry_space_group_name_H-M 'P 1'
_symmetry_Int_Tables_number 1
_symmetry_space_group_name_Hall 'P 1'
loop_
_atom_site_label
_atom_site_type_symbol
_atom_site_fract_x
_atom_site_fract_y
_atom_site_fract_z
La1 La 0.0000 0.0000 0.0000
Tb1 Tb 0.0000 0.5000 0.5000
Tb2 Tb 0.5000 0.0000 0.5000
Pr1 Pr 0.5000 0.5000 0.0000
# Energy relative to the lowest polymorph listed for this composition   0.009 eV/atom
# Total moment   0.0 μB/f.u.
# Energy of formation from the pure elements   0.08 eV per formula unit

# 8
# La4Tb2Pr5 (GGA-PBE, relaxed)
data_La4Tb2Pr5
_cell_length_a 9.2619
_cell_length_b 9.2619
_cell_length_c 12.0054
_cell_angle_alpha 94.20
_cell_angle_beta 94.20
_cell_angle_gamma 22.57
_symmetry_space_group_name_H-M 'P 1'
_symmetry_Int_Tables_number 1
_symmetry_space_group_name_Hall 'P 1'
loop_
_atom_site_label
_atom_site_type_symbol
_atom_site_fract_x
_atom_site_fract_y
_atom_site_fract_z
La1 La 0.0401 0.0401 0.2636
La2 La 0.3583 0.3583 0.2040
La3 La 0.6417 0.6417 0.7960
La4 La 0.9599 0.9599 0.7364
Tb1 Tb 0.2832 0.2832 0.6369
Tb2 Tb 0.7168 0.7168 0.3631
Pr1 Pr 0.0962 0.0962 0.5396
Pr2 Pr 0.1788 0.1788 0.0744
Pr3 Pr 0.5000 0.5000 0.0000
Pr4 Pr 0.8212 0.8212 0.9256
Pr5 Pr 0.9038 0.9038 0.4604
# Energy relative to the lowest polymorph listed for this composition   0.000 eV/atom
# Total moment   0.0 μB/f.u.
# Energy of formation from the pure elements   0.78 eV per formula unit